[1]
{"formula": "Ba12Ge3H5", "functional": "PBE-GGA", "state": "relaxed", "spacegroup": "Ia-3d (230)", "e_tot_ev_per_atom": -3.02, "m_tot_mub_per_fu": 5.7, "volume_a3_per_atom": 36.4, "lattice": [[15.5860, 0.0000, 0.0000], [-5.1953, 14.6947, 0.0000], [-5.1953, -7.3473, 12.7260]], "species": ["Ba", "H", "Ba", "H", "Ba", "Ba", "Ba", "Ba", "Ba", "Ge", "Ba", "H", "Ge", "Ba", "Ba", "Ba", "H", "H", "Ba", "H", "Ba", "Ba", "Ba", "Ba", "H", "H", "H", "Ge", "Ba", "Ba", "Ba", "H", "Ba", "Ba", "H", "H", "H", "Ba", "H", "Ge", "Ba", "Ge", "Ba", "Ge", "Ge", "Ba", "Ba", "Ge", "Ba", "Ge", "Ge", "Ba", "Ba", "Ba", "H", "Ba", "Ba", "Ba", "Ba", "Ba", "Ba", "Ba", "Ba", "Ba", "Ba", "H", "Ba", "Ba", "H", "Ba", "Ba", "Ge", "Ba", "Ge", "Ba", "Ba", "H", "H", "Ba", "H"], "fractional_positions": [[0.8122, 0.9086, 0.2837], [0.0000, 0.5000, 0.5000], [0.8751, 0.5914, 0.9035], [0.6250, 0.7500, 0.8750], [0.5914, 0.8751, 0.4035], [0.3751, 0.9715, 0.7837], [0.6878, 0.4715, 0.5965], [0.3751, 0.4035, 0.0914], [0.5965, 0.6249, 0.4086], [0.2500, 0.6250, 0.8750], [0.5914, 0.7163, 0.6878], [0.7500, 0.1250, 0.8750], [0.1250, 0.8750, 0.7500], [0.1249, 0.7163, 0.5285], [0.4035, 0.0285, 0.3122], [0.5285, 0.3122, 0.9035], [0.0000, 0.0000, 0.0000], [0.8750, 0.6250, 0.7500], [0.7837, 0.3122, 0.9086], [0.2500, 0.8750, 0.1250], [0.9035, 0.0914, 0.8751], [0.4086, 0.2837, 0.3122], [0.7837, 0.4715, 0.3751], [0.2163, 0.5285, 0.6249], [0.2500, 0.3750, 0.6250], [0.3750, 0.1250, 0.7500], [0.3750, 0.2500, 0.1250], [0.8750, 0.1250, 0.2500], [0.2837, 0.4086, 0.8122], [0.0285, 0.4035, 0.8122], [0.0965, 0.9086, 0.1249], [0.0000, 0.5000, 0.0000], [0.7163, 0.1249, 0.0285], [0.4715, 0.7837, 0.8751], [0.0000, 0.0000, 0.5000], [0.6250, 0.8750, 0.2500], [0.5000, 0.5000, 0.5000], [0.5965, 0.9715, 0.6878], [0.8750, 0.2500, 0.6250], [0.2500, 0.1250, 0.3750], [0.3122, 0.5285, 0.4035], [0.1250, 0.2500, 0.8750], [0.9086, 0.8122, 0.7837], [0.6250, 0.2500, 0.3750], [0.7500, 0.8750, 0.6250], [0.4715, 0.6878, 0.0965], [0.8751, 0.2837, 0.4715], [0.6250, 0.3750, 0.7500], [0.9715, 0.3751, 0.2837], [0.8750, 0.7500, 0.1250], [0.7500, 0.3750, 0.1250], [0.6878, 0.2163, 0.5914], [0.2837, 0.8751, 0.9715], [0.5285, 0.2163, 0.1249], [0.5000, 0.0000, 0.0000], [0.8122, 0.9035, 0.0285], [0.0914, 0.9035, 0.3751], [0.6249, 0.5965, 0.9086], [0.0285, 0.6249, 0.7163], [0.4086, 0.1249, 0.5965], [0.1878, 0.0965, 0.9715], [0.9715, 0.5965, 0.1878], [0.2163, 0.6878, 0.0914], [0.0914, 0.1878, 0.2163], [0.1878, 0.0914, 0.7163], [0.5000, 0.0000, 0.5000], [0.0965, 0.1878, 0.4715], [0.9086, 0.0965, 0.6249], [0.1250, 0.7500, 0.3750], [0.7163, 0.5914, 0.1878], [0.1249, 0.4086, 0.0965], [0.3750, 0.7500, 0.6250], [0.9035, 0.8122, 0.5285], [0.3750, 0.6250, 0.2500], [0.6249, 0.0285, 0.2163], [0.4035, 0.3751, 0.5914], [0.5000, 0.5000, 0.0000], [0.1250, 0.3750, 0.2500], [0.3122, 0.7837, 0.4086], [0.7500, 0.6250, 0.3750]]}

=====

[2]
{"formula": "PmGeCl", "functional": "PBE-GGA", "state": "relaxed", "spacegroup": "R-3m (166)", "formation_energy_uncorrected_ev_per_atom": -1.333, "m_tot_mub_per_fu": 0.0, "volume_a3_per_atom": 27.5, "lattice": [[-1.1959, 3.9869, -1.0058], [-4.1318, 0.8853, -0.6940], [-3.0057, 3.8036, 9.5352]], "species": ["Pm", "Cl", "Cl", "Pm", "Ge", "Ge"], "fractional_positions": [[0.4363, 0.4363, 0.6912], [0.7188, 0.7188, 0.8436], [0.2812, 0.2812, 0.1564], [0.5637, 0.5637, 0.3088], [0.8386, 0.8386, 0.4844], [0.1614, 0.1614, 0.5156]]}

=====

[3]
{"formula": "LiInB2Br", "functional": "PBE-GGA", "state": "relaxed", "spacegroup": "P4/mmm (123)", "formation_energy_uncorrected_ev_per_atom": 1.398, "m_tot_mub_per_fu": 0.0, "volume_a3_per_atom": 19.3, "lattice": [[-2.6724, -1.9497, 2.7466], [2.9449, -4.2959, -0.1841], [2.3329, 1.4576, 3.3045]], "species": ["Li", "B", "In", "B", "Br"], "fractional_positions": [[0.0000, 0.0000, 0.0000], [0.5000, 0.0000, 0.0000], [0.0000, 0.5000, 0.0000], [0.0000, 0.0000, 0.5000], [0.5000, 0.5000, 0.5000]]}

=====

[4]
{"formula": "Ca2AgSb", "functional": "PBE-GGA", "state": "relaxed", "spacegroup": "Amm2 (38)", "formation_energy_uncorrected_ev_per_atom": -0.665, "m_tot_mub_per_fu": 0.0, "volume_a3_per_atom": 28.8, "lattice": [[-1.8502, 4.8191, 3.3387], [-5.1892, 2.1792, 2.4731], [0.8572, -2.3549, 3.8754]], "species": ["Ag", "Sb", "Ca", "Ca"], "fractional_positions": [[0.2949, 0.2949, 0.1250], [0.4546, 0.4546, 0.6249], [0.7354, 0.7354, 0.6253], [0.0152, 0.0152, 0.1248]]}

=====

[5]
{"formula": "Ba2MgBe", "functional": "PBE-GGA", "state": "relaxed", "spacegroup": "Pmmm (47)", "e_tot_ev_per_atom": -2.02, "m_tot_mub_per_fu": 0.0, "volume_a3_per_atom": 35.7, "lattice": [[-1.9568, -3.4486, -0.7925], [3.2925, -1.4290, -1.9115], [6.1755, -4.7809, 5.5556]], "species": ["Mg", "Be", "Ba", "Ba"], "fractional_positions": [[0.5000, 0.7500, 0.7500], [0.5000, 0.2500, 0.2500], [0.0000, 0.5312, 0.4684], [0.0000, 0.9688, 0.0316]]}

=====

[6]
{"formula": "K2NiSe", "functional": "PBE-GGA", "state": "relaxed", "spacegroup": "I4/mmm (139)", "formation_energy_uncorrected_ev_per_atom": 0.057, "m_tot_mub_per_fu": 0.6, "volume_a3_per_atom": 26.2, "lattice": [[-5.6844, 0.2642, -0.9224], [-4.4697, 0.0455, 3.6404], [-1.8806, 4.2763, 0.7056]], "species": ["K", "K", "Se", "Ni"], "fractional_positions": [[0.0001, 0.0001, 0.9999], [0.4998, 0.4998, 0.5001], [0.7500, 0.7500, 0.7500], [0.2500, 0.2500, 0.2500]]}

=====

[7]
{"formula": "Ac2BiAu", "functional": "PBE-GGA", "state": "relaxed", "spacegroup": "Fm-3m (225)", "e_tot_ev_per_atom": -4.54, "m_tot_mub_per_fu": 0.8, "volume_a3_per_atom": 33.4, "lattice": [[5.7389, 0.0000, 0.0000], [2.8695, 4.9701, 0.0000], [2.8695, 1.6567, 4.6858]], "species": ["Ac", "Ac", "Bi", "Au"], "fractional_positions": [[0.7500, 0.7500, 0.7500], [0.2500, 0.2500, 0.2500], [0.0000, 0.0000, 0.0000], [0.5000, 0.5000, 0.5000]]}

=====

[8]
{"formula": "SrTa3I", "functional": "PBE-GGA", "state": "relaxed", "spacegroup": "Pm-3m (221)", "formation_energy_uncorrected_ev_per_atom": 3.014, "m_tot_mub_per_fu": 0.0, "volume_a3_per_atom": 26.0, "lattice": [[5.0672, 0.0000, 0.0000], [0.0000, 5.0672, 0.0000], [0.0000, 0.0000, 5.0672]], "species": ["Ta", "Ta", "Ta", "I", "Sr"], "fractional_positions": [[0.0000, 0.5000, 0.0000], [0.5000, 0.0000, 0.0000], [0.0000, 0.0000, 0.5000], [0.5000, 0.5000, 0.5000], [0.0000, 0.0000, 0.0000]]}

=====

[9]
{"formula": "LiUMn", "functional": "PBE-GGA", "state": "relaxed", "spacegroup": "C2/m (12)", "e_tot_ev_per_atom": -7.19, "m_tot_mub_per_fu": 0.0, "volume_a3_per_atom": 17.6, "lattice": [[0.2571, -4.4092, -1.8117], [2.1653, -2.8731, -3.1379], [7.4016, -7.3882, 2.0923]], "species": ["Li", "U", "Li", "U", "Mn", "Mn"], "fractional_positions": [[0.8115, 0.8115, 0.0682], [0.2589, 0.2589, 0.8077], [0.9417, 0.9417, 0.2392], [0.4943, 0.4943, 0.4996], [0.2391, 0.2391, 0.5269], [0.5141, 0.5141, 0.7805]]}

=====

[10]
{"formula": "Sr2NdThAs4", "functional": "PBE-GGA", "state": "relaxed", "spacegroup": "P2/m (10)", "e_tot_ev_per_atom": -5.54, "m_tot_mub_per_fu": 0.0, "volume_a3_per_atom": 29.8, "lattice": [[-2.8635, 0.7515, 3.2053], [-3.4411, -6.5638, -1.5352], [5.4954, -1.1804, 5.1863]], "species": ["As", "Th", "As", "Nd", "Sr", "Sr", "As", "As"], "fractional_positions": [[0.0000, 0.2604, 0.7718], [0.5000, 0.5000, 0.0000], [0.5000, 0.7539, 0.7703], [0.0000, 0.0000, 0.0000], [0.5000, 0.0000, 0.5000], [0.0000, 0.5000, 0.5000], [0.5000, 0.2461, 0.2297], [0.0000, 0.7396, 0.2282]]}

=====

[11]
{"formula": "NbGeRu", "functional": "PBE-GGA", "state": "relaxed", "spacegroup": "Imm2 (44)", "e_tot_ev_per_atom": -8.20, "m_tot_mub_per_fu": 0.0, "volume_a3_per_atom": 15.7, "lattice": [[3.8375, 0.0000, 0.0000], [0.0000, 2.9760, 0.0000], [0.0000, 0.0000, 8.2455]], "species": ["Nb", "Ru", "Ge", "Nb", "Ru", "Ge"], "fractional_positions": [[0.0000, 0.0000, 0.6770], [0.5000, 0.5000, 0.8512], [0.5000, 0.5000, 0.5071], [0.5000, 0.5000, 0.1770], [0.0000, 0.0000, 0.3512], [0.0000, 0.0000, 0.0071]]}

=====

[12]
{"formula": "RuC2Se", "functional": "PBE-GGA", "state": "relaxed", "spacegroup": "I-42d (122)", "formation_energy_uncorrected_ev_per_atom": 1.196, "m_tot_mub_per_fu": 0.0, "volume_a3_per_atom": 13.3, "lattice": [[-4.7441, -0.8595, 0.1350], [0.7105, -4.2591, -2.1491], [-1.5407, -4.5445, 3.0846]], "species": ["Se", "C", "C", "C", "Se", "Ru", "C", "Ru"], "fractional_positions": [[0.5000, 0.5000, 0.0000], [0.3750, 0.3497, 0.7500], [0.0997, 0.6250, 0.2500], [0.6503, 0.1250, 0.2500], [0.2500, 0.7500, 0.5000], [0.7500, 0.2500, 0.5000], [0.8750, 0.9003, 0.7500], [0.0000, 0.0000, 0.0000]]}

=====

[13]
{"formula": "La9Cd2In", "functional": "PBE-GGA", "state": "relaxed", "spacegroup": "P4/mmm (123)", "e_tot_ev_per_atom": -4.27, "m_tot_mub_per_fu": 0.0, "volume_a3_per_atom": 32.6, "lattice": [[5.0746, 0.0000, 0.0000], [0.0000, 5.0746, 0.0000], [0.0000, 0.0000, 15.2047]], "species": ["La", "Cd", "La", "La", "Cd", "La", "La", "La", "La", "La", "In", "La"], "fractional_positions": [[0.5000, 0.0000, 0.8342], [0.0000, 0.0000, 0.3338], [0.5000, 0.5000, 0.0000], [0.5000, 0.5000, 0.3346], [0.0000, 0.0000, 0.6662], [0.5000, 0.5000, 0.6654], [0.0000, 0.5000, 0.5000], [0.0000, 0.5000, 0.1658], [0.5000, 0.0000, 0.1658], [0.5000, 0.0000, 0.5000], [0.0000, 0.0000, 0.0000], [0.0000, 0.5000, 0.8342]]}

=====

[14]
{"formula": "Fe6PtRh2", "functional": "PBE-GGA", "state": "relaxed", "spacegroup": "Immm (71)", "e_tot_ev_per_atom": -7.85, "m_tot_mub_per_fu": 17.8, "volume_a3_per_atom": 13.2, "lattice": [[2.5495, 0.0000, 0.6806], [0.4346, 6.4074, 3.4877], [-0.5780, 0.2594, 7.2805]], "species": ["Fe", "Fe", "Fe", "Rh", "Pt", "Fe", "Fe", "Fe", "Rh"], "fractional_positions": [[0.0000, 0.8246, 0.1754], [0.1723, 0.1562, 0.4993], [0.8277, 0.8438, 0.5007], [0.6506, 0.8494, 0.8494], [0.5000, 0.5000, 0.5000], [0.8277, 0.5007, 0.8438], [0.1723, 0.4993, 0.1562], [0.0000, 0.1754, 0.8246], [0.3494, 0.1506, 0.1506]]}

=====

[15]
{"formula": "La2NpSnN5", "functional": "PBE-GGA", "state": "relaxed", "spacegroup": "Cmc2_1 (36)", "formation_energy_uncorrected_ev_per_atom": -0.887, "m_tot_mub_per_fu": 2.0, "volume_a3_per_atom": 15.4, "lattice": [[3.5252, 0.0000, 0.0000], [-1.7626, 7.2338, 0.0000], [0.0000, 0.0000, 10.8740]], "species": ["N", "N", "La", "N", "N", "Sn", "N", "N", "N", "N", "Sn", "La", "N", "Np", "Np", "La", "N", "La"], "fractional_positions": [[0.7208, 0.4416, 0.1363], [0.7006, 0.4012, 0.8808], [0.8660, 0.7320, 0.7883], [0.9410, 0.8819, 0.5556], [0.4955, 0.9910, 0.7803], [0.5154, 0.0308, 0.9692], [0.2994, 0.5988, 0.3808], [0.5045, 0.0090, 0.2803], [0.6325, 0.2651, 0.5082], [0.0590, 0.1181, 0.0556], [0.4846, 0.9692, 0.4692], [0.1120, 0.2239, 0.6981], [0.2792, 0.5584, 0.6363], [0.7832, 0.5664, 0.5072], [0.2168, 0.4336, 0.0072], [0.1340, 0.2680, 0.2883], [0.3675, 0.7349, 0.0082], [0.8880, 0.7761, 0.1981]]}

=====

[16]
{"formula": "LaDy5Cu6", "functional": "PBE-GGA", "state": "relaxed", "spacegroup": "P2/m (10)", "e_tot_ev_per_atom": -4.60, "m_tot_mub_per_fu": 0.0, "volume_a3_per_atom": 21.5, "lattice": [[-0.2154, 0.8701, 4.8794], [-6.9275, 0.3952, -0.3762], [-0.5979, -6.9034, 3.7571]], "species": ["La", "Dy", "Cu", "Dy", "Dy", "Cu", "Dy", "Dy", "Cu", "Cu", "Cu", "Cu"], "fractional_positions": [[0.0000, 0.0000, 0.0000], [0.3313, 0.0000, 0.3378], [0.8289, 0.7443, 0.3433], [0.6652, 0.5000, 0.6690], [0.3348, 0.5000, 0.3310], [0.8289, 0.2557, 0.3433], [0.6687, 0.0000, 0.6622], [0.0000, 0.5000, 0.0000], [0.1711, 0.2557, 0.6567], [0.5000, 0.2663, 0.0000], [0.1711, 0.7443, 0.6567], [0.5000, 0.7337, 0.0000]]}

=====

[17]
{"formula": "PrPu2Ir", "functional": "PBE-GGA", "state": "relaxed", "spacegroup": "R-3m (166)", "e_tot_ev_per_atom": -10.51, "m_tot_mub_per_fu": 11.0, "volume_a3_per_atom": 30.1, "lattice": [[3.7619, 0.0000, 0.0000], [1.8809, 3.2579, 0.0000], [1.8809, 1.0860, 9.8352]], "species": ["Ir", "Pu", "Pr", "Pu"], "fractional_positions": [[0.5000, 0.5000, 0.5000], [0.8908, 0.8908, 0.3277], [0.0000, 0.0000, 0.0000], [0.1092, 0.1092, 0.6723]]}

=====

[18]
{"formula": "PmSm2Sn3", "functional": "PBE-GGA", "state": "relaxed", "spacegroup": "C2/c (15)", "e_tot_ev_per_atom": -5.01, "m_tot_mub_per_fu": 0.0, "volume_a3_per_atom": 29.7, "lattice": [[5.8418, -0.2786, -0.4799], [-1.6386, 8.4538, 0.1356], [-1.6386, -4.0733, 7.4090]], "species": ["Sn", "Pm", "Sn", "Sn", "Sn", "Sn", "Sm", "Sn", "Sm", "Sm", "Sm", "Pm"], "fractional_positions": [[0.9999, 0.8349, 0.6674], [0.2500, 0.5831, 0.4169], [0.4999, 0.6674, 0.8349], [0.0001, 0.1651, 0.3326], [0.5001, 0.3326, 0.1651], [0.5000, 0.0000, 0.5000], [0.7500, 0.7496, 0.2504], [0.0000, 0.5000, 0.0000], [0.2500, 0.2504, 0.7496], [0.7500, 0.0835, 0.9165], [0.2500, 0.9165, 0.0835], [0.7500, 0.4169, 0.5831]]}

=====

[19]
{"formula": "Pm2Pa2Pt15", "functional": "PBE-GGA", "state": "relaxed", "spacegroup": "R-3m (166)", "e_tot_ev_per_atom": -6.96, "m_tot_mub_per_fu": 0.0, "volume_a3_per_atom": 18.6, "lattice": [[7.1403, 0.0585, 0.0522], [0.9844, 7.0724, 0.0522], [0.9844, 0.8640, 7.0196]], "species": ["Pt", "Pt", "Pt", "Pm", "Pa", "Pt", "Pt", "Pt", "Pt", "Pt", "Pt", "Pt", "Pt", "Pt", "Pt", "Pt", "Pm", "Pa", "Pt"], "fractional_positions": [[0.0000, 0.3104, 0.6896], [0.6896, 0.3104, 0.0000], [0.8424, 0.3453, 0.3453], [0.3593, 0.3593, 0.3593], [0.8981, 0.8981, 0.8981], [0.3453, 0.8424, 0.3453], [0.0000, 0.5000, 0.0000], [0.3104, 0.6896, 0.0000], [0.3104, 0.0000, 0.6896], [0.5000, 0.0000, 0.0000], [0.0000, 0.0000, 0.5000], [0.6896, 0.0000, 0.3104], [0.1576, 0.6547, 0.6547], [0.6547, 0.1576, 0.6547], [0.3453, 0.3453, 0.8424], [0.6547, 0.6547, 0.1576], [0.6407, 0.6407, 0.6407], [0.1019, 0.1019, 0.1019], [0.0000, 0.6896, 0.3104]]}

=====

[20]
{"formula": "Tb2NdDy9", "functional": "PBE-GGA", "state": "relaxed", "spacegroup": "P6/mmm (191)", "e_tot_ev_per_atom": -4.58, "m_tot_mub_per_fu": 0.0, "volume_a3_per_atom": 32.0, "lattice": [[-0.5132, 1.3276, -3.2092], [9.4433, -4.9554, -3.5601], [-9.8106, -5.4488, -0.6854]], "species": ["Dy", "Dy", "Dy", "Dy", "Dy", "Dy", "Tb", "Dy", "Dy", "Nd", "Tb", "Dy"], "fractional_positions": [[0.5000, 0.8226, 0.6452], [0.5000, 0.8226, 0.1774], [0.0000, 0.5000, 0.0000], [0.0000, 0.5000, 0.5000], [0.5000, 0.1774, 0.3548], [0.5000, 0.6452, 0.8226], [0.0000, 0.6667, 0.3333], [0.5000, 0.1774, 0.8226], [0.5000, 0.3548, 0.1774], [0.0000, 0.0000, 0.0000], [0.0000, 0.3333, 0.6667], [0.0000, 0.0000, 0.5000]]}